A plane-wave DFT calculation with PBE was carried out for crystalline Li2WAuS at its relaxed geometry.

Computed properties:
The crystal system is tetragonal. The calculation puts the raw formation energy at 0.617 eV per atom. The energy is -4.220 eV per atom.

Lattice parameters (Å, degrees): 4.2602 4.2602 5.2986 90.00 90.00 90.00
With the nearest neighbours (Å) after each atom.
Space group P4/mmm (No. 123)
Symmetry-distinct sites (fractional):
Li: 0.0000 0.5000 0.0000  2 S 2.13
W: 0.0000 0.0000 0.5000  4 Au 3.01
Au: 0.5000 0.5000 0.5000  2 S 2.65
S: 0.5000 0.5000 0.0000  4 Li 2.13

***

A plane-wave DFT calculation with PBE was carried out for crystalline InIrSe2Br at its relaxed geometry.

Computed properties:
The crystal system is tetragonal. The calculation puts the raw formation energy at 0.143 eV per atom. As for the offset from the most stable computed form: 0 meV/atom. The energy is -3.905 eV per atom.

Lattice parameters (Å, degrees): 4.9306 4.9306 5.3339 90.00 90.00 90.00
With the nearest neighbours (Å) after each atom.
Space group P4/mmm (No. 123)
Symmetry-distinct sites (fractional):
In: 0.0000 0.0000 0.0000  4 Br 3.49, 8 Se 3.63
Ir: 0.5000 0.5000 0.5000  4 Se 2.47, 2 Br 2.67
Se: 0.0000 0.5000 0.5000  2 Ir 2.47
Br: 0.5000 0.5000 0.0000  2 Ir 2.67

***

A plane-wave DFT calculation with PBE was carried out for crystalline SrCa2InS at its relaxed geometry.

Computed properties:
The crystal system is tetragonal. The calculation puts the raw formation energy at -0.928 eV per atom. The energy is -3.439 eV per atom.

Lattice parameters (Å, degrees): 5.3785 5.3785 5.7372 90.00 90.00 90.00
With the nearest neighbours (Å) after each atom.
Space group P4/mmm (No. 123)
Symmetry-distinct sites (fractional):
Sr: 0.0000 0.0000 0.0000  2 S 2.87
Ca: 0.0000 0.5000 0.5000  2 S 2.69
In: 0.5000 0.5000 0.0000  4 Sr 3.80, 8 Ca 3.93
S: 0.0000 0.0000 0.5000  4 Ca 2.69, 2 Sr 2.87

***

A plane-wave DFT calculation with PBE was carried out for crystalline Dy3Y3Sc2 at its relaxed geometry.

Computed properties:
The crystal system is orthorhombic. As for the offset from the most stable computed form: 0 meV/atom. Its energy of formation from the pure elements is 0.05 eV per atom. The energy is -5.688 eV per atom.

Lattice parameters (Å, degrees): 4.9610 4.9615 19.4615 90.00 90.00 90.00
With the nearest neighbours (Å) after each atom.
Space group Immm (No. 71)
Symmetry-distinct sites (fractional):
Dy: 0.0000 0.0000 0.0000  8 Y 3.51-3.56, 4 Dy 3.56
Dy: 0.0000 0.5000 0.1311  4 Sc 3.39, 6 Y 3.51-3.56, 2 Dy 3.56
Y: 0.0000 0.0000 0.5000  8 Dy 3.51-3.56, 4 Y 3.56
Y: 0.0000 0.5000 0.3691  4 Sc 3.39-3.40, 6 Dy 3.51-3.56, 2 Y 3.56
Sc: 0.0000 0.0000 0.2500  4 Dy 3.39, 4 Y 3.39-3.40, 4 Sc 3.51

***

A plane-wave DFT calculation with PBE was carried out for crystalline Ho5TmS6 at its relaxed geometry.

Computed properties:
The crystal system is monoclinic. The calculation puts the raw formation energy at -1.969 eV per atom. The energy is -6.313 eV per atom.

Lattice parameters (Å, degrees): 6.7118 11.6608 6.7015 90.00 109.68 90.00
With the nearest neighbours (Å) after each atom.
Space group C2/m (No. 12)
Symmetry-distinct sites (fractional):
Ho: 0.0000 0.0000 0.0000  6 S 2.74-2.76
Ho: 0.0000 0.1671 0.5000  6 S 2.74-2.75
Ho: 0.0000 0.3320 0.0000  6 S 2.74-2.75
Tm: 0.0000 0.5000 0.5000  6 S 2.72-2.73
S: 0.2483 0.3347 0.7484  1 Tm 2.72, 5 Ho 2.74-2.75
S: 0.2479 0.5000 0.2508  1 Tm 2.73, 5 Ho 2.75-2.76

***

A plane-wave DFT calculation with PBE was carried out for crystalline Nd2PuAl2Rh5 at its relaxed geometry.

Computed properties:
The crystal system is tetragonal. Its energy of formation from the pure elements is -0.73 eV per atom. The energy is -7.544 eV per atom.

Lattice parameters (Å, degrees): 10.1932 10.1932 3.6038 90.00 90.00 90.00
With the nearest neighbours (Å) after each atom.
Space group P4/mbm (No. 127)
Symmetry-distinct sites (fractional):
Nd: 0.1752 0.3248 0.0000  3 Al 2.94-3.07, 10 Rh 3.10-3.27
Pu: 0.0000 0.0000 0.0000  8 Rh 2.92
Al: 0.1206 0.6206 0.0000  6 Rh 2.50-2.52
Rh: 0.0000 0.5000 0.5000  4 Al 2.50
Rh: 0.0689 0.7859 0.5000  2 Al 2.52

***

A plane-wave DFT calculation with PBE was carried out for crystalline TlAgH2O at its relaxed geometry.

Computed properties:
The crystal system is tetragonal. The energy is -2.833 eV per atom.

Lattice parameters (Å, degrees): 3.5725 3.5725 5.9479 90.00 90.00 90.00
With the nearest neighbours (Å) after each atom.
Space group P4/mmm (No. 123)
Symmetry-distinct sites (fractional):
Tl: 0.0000 0.0000 0.0000  4 H 1.79
Ag: 0.0000 0.0000 0.5000  4 O 2.53
H: 0.0000 0.5000 0.0000  2 Tl 1.79
O: 0.5000 0.5000 0.5000  4 Ag 2.53

***

A plane-wave DFT calculation with PBE was carried out for crystalline Cu2PtSe at its relaxed geometry.

Computed properties:
The crystal system is trigonal. The calculation puts the raw formation energy at 0.094 eV per atom. The energy is -4.335 eV per atom.

Lattice parameters (Å, degrees): 2.9804 2.9804 23.5596 90.00 90.00 120.00
With the nearest neighbours (Å) after each atom.
Space group R-3m (No. 166, hexagonal axes)
Symmetry-distinct sites (fractional):
Cu: 0.0000 0.0000 0.2482  3 Se 2.58, 3 Pt 2.64
Pt: 0.0000 0.0000 0.0000  6 Cu 2.64
Se: 0.0000 0.0000 0.5000  6 Cu 2.58

***

A plane-wave DFT calculation with PBE was carried out for crystalline Er6Ge2Te3Pb at its relaxed geometry.

Computed properties:
The crystal system is monoclinic. The calculation puts the raw formation energy at -1.061 eV per atom. The energy is -5.207 eV per atom.

Lattice parameters (Å, degrees): 18.7649 4.2461 8.6698 90.00 103.70 90.00
With the nearest neighbours (Å) after each atom.
Space group C2/m (No. 12)
Symmetry-distinct sites (fractional):
Er: 0.0104 0.0000 0.2526  1 Ge 2.87, 2 Pb 3.02, 3 Te 3.06-3.18
Er: 0.1677 0.5000 0.1100  2 Ge 2.89, 1 Pb 3.06, 3 Te 3.08-3.20
Er: 0.1750 0.5000 0.5665  3 Ge 2.87-2.89, 3 Te 3.18-3.20
Ge: 0.1678 0.0000 0.3364  6 Er 2.87-2.89
Te: 0.0000 0.5000 0.5000  6 Er 3.06-3.20
Te: 0.1640 0.0000 0.8327  6 Er 3.08-3.20
Pb: 0.0000 0.5000 0.0000  6 Er 3.02-3.06

***

A plane-wave DFT calculation with PBE was carried out for crystalline CsP at its relaxed geometry.

Computed properties:
The crystal system is cubic. Its energy of formation from the pure elements is 0.75 eV per atom. The energy is -2.386 eV per atom.

Lattice parameters (Å, degrees): 8.1855 8.1855 8.1855 90.00 90.00 90.00
With the nearest neighbours (Å) after each atom.
Space group F-43m (No. 216)
Symmetry-distinct sites (fractional):
Cs: 0.0000 0.0000 0.0000  4 P 3.54
P: 0.2500 0.2500 0.2500  4 Cs 3.54

***

A plane-wave DFT calculation with PBE was carried out for crystalline Pr3Rh2Cl at its relaxed geometry.

Computed properties:
The crystal system is orthorhombic. The calculation puts the raw formation energy at -0.719 eV per atom. The energy is -5.867 eV per atom.

Lattice parameters (Å, degrees): 4.1350 15.7689 9.8671 90.00 90.00 90.00
With the nearest neighbours (Å) after each atom.
Space group Cmcm (No. 63)
Symmetry-distinct sites (fractional):
Pr: 0.0000 0.1170 0.0588  3 Rh 2.81-2.83
Pr: 0.0000 0.3712 0.2500  2 Rh 2.73
Rh: 0.0000 0.0155 0.7500  4 Pr 2.73-2.81
Rh: 0.0000 0.5000 0.0000  4 Pr 2.83
Cl: 0.0000 0.2822 0.7500  6 Pr 3.18-3.22

***

A plane-wave DFT calculation with PBE was carried out for crystalline RbHfPO6 at its relaxed geometry.

Computed properties:
The crystal system is trigonal. The calculation puts the raw formation energy at -1.993 eV per atom. The energy is -7.113 eV per atom.

Lattice parameters (Å, degrees): 5.1898 5.1898 6.2213 90.00 90.00 120.00
With the nearest neighbours (Å) after each atom.
Space group P312 (No. 149)
Symmetry-distinct sites (fractional):
Rb: 0.0000 0.0000 0.0000  6 O 2.92
Hf: 0.6667 0.3333 0.5000  6 O 2.09
P: 0.3333 0.6667 0.5000  6 O 1.71
O: 0.0537 0.4109 0.3418  1 P 1.71

***

> Which formula does entry 9 have?

Er6Ge2Te3Pb

***

> The highest energy belongs to which entry?

CsP

***

> Among the records above, which one has the lowest energy?

Nd2PuAl2Rh5